# Ta2CrO6 | the Alexandria database | PBE with a Hubbard U | relaxed
data_Ta2CrO6
_cell_length_a 4.854
_cell_length_b 4.854
_cell_length_c 9.232
_cell_angle_alpha 90.00
_cell_angle_beta 90.00
_cell_angle_gamma 90.00
_symmetry_space_group_name_H-M 'P 1'
_symmetry_Int_Tables_number 1
loop_
_symmetry_equiv_pos_as_xyz
'x,y,z'
loop_
_atom_site_label
_atom_site_type_symbol
_atom_site_fract_x
_atom_site_fract_y
_atom_site_fract_z
Ta1 Ta 0.000 0.000 0.168
Ta2 Ta 0.000 0.000 0.832
Ta3 Ta 0.500 0.500 0.332
Ta4 Ta 0.500 0.500 0.668
Cr1 Cr 0.000 0.000 0.500
Cr2 Cr 0.500 0.500 0.000
O1 O 0.183 0.183 0.000
O2 O 0.204 0.204 0.323
O3 O 0.204 0.204 0.677
O4 O 0.296 0.704 0.177
O5 O 0.296 0.704 0.823
O6 O 0.317 0.683 0.500
O7 O 0.683 0.317 0.500
O8 O 0.704 0.296 0.177
O9 O 0.704 0.296 0.823
O10 O 0.796 0.796 0.323
O11 O 0.796 0.796 0.677
O12 O 0.817 0.817 0.000
# Final energy = -9.3513 eV per atom